This record from the Alexandria database describes CsTiNiOF5 after structural relaxation. The functional is PBE with a Hubbard U.

abc: 7.254 7.404 10.573
angles: 90.00 90.00 90.00
Space group Imma (No. 74)
Symmetry-distinct sites (fractional):
Cs: 0.000 0.250 0.121 [4 per cell]
Ti: 0.250 0.250 0.750 [4 per cell]
Ni: 0.000 0.000 0.500 [4 per cell]
O: 0.000 0.250 0.791 [4 per cell]
F: 0.000 0.250 0.428 [4 per cell]
F: 0.208 0.062 0.623 [16 per cell]

Computed properties:
E   -5.6996 eV per atom
ρ   4.10 g cm⁻³
Density of states at the Fermi level   0.0000 states/eV/atom